Material: Ac2ThP3
Method: DFT, PBE-GGA
State: optimized geometry

Unit cell a=14.365 b=13.697 c=7.507 alpha=79.47 beta=69.62 gamma=30.91
Element x y z (fractional)
Ac 0.043 0.043 0.207
Ac 0.124 0.124 0.626
Ac 0.207 0.207 0.043
Ac 0.374 0.374 0.876
Ac 0.626 0.626 0.124
Ac 0.793 0.793 0.957
Ac 0.876 0.876 0.374
Ac 0.957 0.957 0.793
Th 0.291 0.291 0.459
Th 0.459 0.459 0.291
Th 0.541 0.541 0.709
Th 0.709 0.709 0.541
P 0.039 0.539 0.228
P 0.142 0.608 0.608
P 0.228 0.695 0.039
P 0.305 0.772 0.461
P 0.392 0.858 0.858
P 0.461 0.961 0.305
P 0.539 0.039 0.695
P 0.608 0.142 0.142
P 0.695 0.228 0.539
P 0.772 0.305 0.961
P 0.858 0.392 0.392
P 0.961 0.461 0.772

Results
Formation energy from the elements (eV per atom): -1.499
VASP energy (eV per atom): -6.81
Theoretical density (Mg/m³): 7.495